[1]
A geometry-optimized DyZnGaIr structure, computed with PBE-GGA.

```
data_DyZnGaIr
_space_group_name_H-M_alt 'F -4 3 m'
_space_group_IT_number 216
_space_group_name_Hall 'F -4 2 3'
_cell_length_a 6.487
_cell_length_b 6.487
_cell_length_c 6.487
_cell_angle_alpha 90.00
_cell_angle_beta 90.00
_cell_angle_gamma 90.00
loop_
_atom_site_label
_atom_site_fract_x
_atom_site_fract_y
_atom_site_fract_z
Dy1 0.000 0.000 0.000
Zn1 0.250 0.250 0.750
Ga1 0.250 0.250 0.250
Ir1 0.000 0.000 0.500
```

Computed properties:
Crystal system = cubic
Raw total energy = -4.94 eV per atom
Spin magnetization = 0.000 μB/atom



[2]
A geometry-optimized LiDyMgHg structure, computed with PBE-GGA.

```
data_LiDyMgHg
_space_group_name_H-M_alt 'F -4 3 m'
_space_group_IT_number 216
_space_group_name_Hall 'F -4 2 3'
_cell_length_a 7.039
_cell_length_b 7.039
_cell_length_c 7.039
_cell_angle_alpha 90.00
_cell_angle_beta 90.00
_cell_angle_gamma 90.00
loop_
_atom_site_label
_atom_site_fract_x
_atom_site_fract_y
_atom_site_fract_z
Li1 0.000 0.000 0.000
Dy1 0.250 0.250 0.250
Mg1 0.250 0.250 0.750
Hg1 0.000 0.000 0.500
```

Computed properties:
Crystal system = cubic
Raw total energy = -2.42 eV per atom
Spin magnetization = 0.000 μB/atom



no.,formation energy (eV per atom)
1,-0.50
2,-0.32